Record 1
Material: MgRh2O
Method: DFT, GGA-PBE
State: optimized geometry

Properties
The value obtained for the density of states at the Fermi level is 2.44 states/eV per cell. The formation energy (no corrections) comes out at -0.088 eV per atom. As for the calculated volume: 141.1 Å³/cell. The total energy is -43.21 eV per cell. As for the space group: No. 122.

Lattice parameters (Å, degrees): 7.2419 7.2419 7.2419 142.29 142.29 54.40
Last column: nearest neighbours and their distance in Å.
Element x y z (fractional)
Mg 0.0000 0.0000 0.0000  4 Rh 2.79
Mg 0.7500 0.2500 0.5000  4 Rh 2.79
Rh 0.2914 0.6250 0.1664  2 O 2.03
Rh 0.3750 0.5414 0.6664  2 O 2.03
Rh 0.4586 0.1250 0.8336  2 O 2.03
Rh 0.8750 0.7086 0.3336  2 O 2.03
O 0.2500 0.7500 0.5000  4 Rh 2.03
O 0.5000 0.5000 0.0000  4 Rh 2.03

Record 2
Material: MgRhO2
Method: DFT, GGA-PBE
State: optimized geometry

Properties
The value obtained for the density of states at the Fermi level is 3.56 states/eV per cell. The formation energy (no corrections) comes out at -1.400 eV per atom. As for the calculated volume: 44.7 Å³/cell. The total energy is -24.46 eV per cell. As for the space group: No. 166.

Lattice parameters (Å, degrees): 6.3056 6.3056 6.3056 26.72 26.72 26.72
Last column: nearest neighbours and their distance in Å.
Element x y z (fractional)
Mg 0.0000 0.0000 0.0000  6 O 2.03
Rh 0.5000 0.5000 0.5000  2 O 1.90
O 0.3958 0.3958 0.3958  1 Rh 1.90, 3 Mg 2.03
O 0.6042 0.6042 0.6042  1 Rh 1.90, 3 Mg 2.03

Record 3
Material: MgRh3O
Method: DFT, GGA-PBE
State: optimized geometry

Properties
The value obtained for the density of states at the Fermi level is 7.13 states/eV per cell. The formation energy (no corrections) comes out at 1.747 eV per atom. As for the calculated volume: 97.3 Å³/cell. The total energy is -19.87 eV per cell. As for the space group: No. 221.

Lattice parameters (Å, degrees): 4.5998 4.5998 4.5998 90.00 90.00 90.00
Last column: nearest neighbours and their distance in Å.
Element x y z (fractional)
Mg 0.0000 0.0000 0.0000  6 Rh 2.30
Rh 0.0000 0.0000 0.5000  2 Mg 2.30
Rh 0.0000 0.5000 0.0000  2 Mg 2.30
Rh 0.5000 0.0000 0.0000  2 Mg 2.30
O 0.5000 0.5000 0.5000  12 Rh 3.25

Record 4
Material: Mg2RhO
Method: DFT, GGA-PBE
State: optimized geometry

Properties
The value obtained for the density of states at the Fermi level is 4.85 states/eV per cell. The formation energy (no corrections) comes out at -0.963 eV per atom. As for the calculated volume: 124.7 Å³/cell. The total energy is -38.70 eV per cell. As for the space group: No. 122.

Lattice parameters (Å, degrees): 5.4982 5.4982 5.4982 115.08 115.08 98.76
Last column: nearest neighbours and their distance in Å.
Element x y z (fractional)
Mg 0.0314 0.6250 0.9064  2 O 1.96
Mg 0.3750 0.2814 0.4064  2 O 1.96
Mg 0.7186 0.1250 0.0936  2 O 1.96
Mg 0.8750 0.9686 0.5936  2 O 1.96
Rh 0.2500 0.7500 0.5000  4 Mg 2.66
Rh 0.5000 0.5000 0.0000  4 Mg 2.66
O 0.0000 0.0000 0.0000  4 Mg 1.96
O 0.7500 0.2500 0.5000  4 Mg 1.96

Record 5
Material: MgRuRh2O6
Method: DFT, GGA-PBE
State: optimized geometry

Properties
The value obtained for the density of states at the Fermi level is 5.29 states/eV per cell. The formation energy (no corrections) comes out at -1.124 eV per atom. As for the calculated volume: 109.1 Å³/cell. The total energy is -66.56 eV per cell. As for the space group: No. 146.

Lattice parameters (Å, degrees): 5.5850 5.5850 5.5850 55.09 55.09 55.09
Last column: nearest neighbours and their distance in Å.
Element x y z (fractional)
Mg 0.0000 0.0000 0.0000  6 O 2.02-2.19
Ru 0.4912 0.4912 0.4912  6 O 2.02-2.05
Rh 0.2969 0.2969 0.2969  6 O 2.06-2.12
Rh 0.8014 0.8014 0.8014  6 O 2.07-2.08
O 0.0956 0.7002 0.3969  1 Mg 2.02, 1 Ru 2.05, 2 Rh 2.07-2.12
O 0.2106 0.5886 0.8863  1 Ru 2.02, 2 Rh 2.06-2.08, 1 Mg 2.19
O 0.3969 0.0956 0.7002  1 Mg 2.02, 1 Ru 2.05, 2 Rh 2.07-2.12
O 0.5886 0.8863 0.2106  1 Ru 2.02, 2 Rh 2.06-2.08, 1 Mg 2.19
O 0.7002 0.3969 0.0956  1 Mg 2.02, 1 Ru 2.05, 2 Rh 2.07-2.12
O 0.8863 0.2106 0.5886  1 Ru 2.02, 2 Rh 2.06-2.08, 1 Mg 2.19

Record 6
Material: MgRuRhO6
Method: DFT, GGA-PBE
State: optimized geometry

Properties
The value obtained for the density of states at the Fermi level is 13.31 states/eV per cell. The formation energy (no corrections) comes out at -1.123 eV per atom. As for the calculated volume: 188.4 Å³/cell. The total energy is -116.16 eV per cell. As for the space group: No. 163.

Lattice parameters (Å, degrees): 5.0595 5.0595 8.4998 90.00 90.00 120.00
Last column: nearest neighbours and their distance in Å.
Element x y z (fractional)
Mg 0.3333 0.6667 0.2500  6 O 2.03
Mg 0.6667 0.3333 0.7500  6 O 2.03
Ru 0.3333 0.6667 0.7500  6 O 1.94
Ru 0.6667 0.3333 0.2500  6 O 1.94
Rh 0.0000 0.0000 0.0000  6 O 2.01
Rh 0.0000 0.0000 0.5000  6 O 2.01
O 0.0143 0.3454 0.6241  1 Ru 1.94, 1 Rh 2.01, 1 Mg 2.03
O 0.0143 0.6689 0.8759  1 Ru 1.94, 1 Rh 2.01, 1 Mg 2.03
O 0.3311 0.3454 0.8759  1 Ru 1.94, 1 Rh 2.01, 1 Mg 2.03
O 0.3311 0.9857 0.6241  1 Ru 1.94, 1 Rh 2.01, 1 Mg 2.03
O 0.3454 0.0143 0.1241  1 Ru 1.94, 1 Rh 2.01, 1 Mg 2.03
O 0.3454 0.3311 0.3759  1 Ru 1.94, 1 Rh 2.01, 1 Mg 2.03
O 0.6546 0.6689 0.6241  1 Ru 1.94, 1 Rh 2.01, 1 Mg 2.03
O 0.6546 0.9857 0.8759  1 Ru 1.94, 1 Rh 2.01, 1 Mg 2.03
O 0.6689 0.0143 0.3759  1 Ru 1.94, 1 Rh 2.01, 1 Mg 2.03
O 0.6689 0.6546 0.1241  1 Ru 1.94, 1 Rh 2.01, 1 Mg 2.03
O 0.9857 0.3311 0.1241  1 Ru 1.94, 1 Rh 2.01, 1 Mg 2.03
O 0.9857 0.6546 0.3759  1 Ru 1.94, 1 Rh 2.01, 1 Mg 2.03

Record 7
Material: MgSbRhO6
Method: DFT, GGA-PBE
State: optimized geometry

Properties
The value obtained for the density of states at the Fermi level is 8.39 states/eV per cell. The formation energy (no corrections) comes out at -1.338 eV per atom. As for the calculated volume: 210.8 Å³/cell. The total energy is -109.72 eV per cell. As for the space group: No. 163.

Lattice parameters (Å, degrees): 5.2013 5.2013 8.9978 90.00 90.00 120.00
Last column: nearest neighbours and their distance in Å.
Element x y z (fractional)
Mg 0.0000 0.0000 0.0000  6 O 2.16
Mg 0.0000 0.0000 0.5000  6 O 2.16
Sb 0.3333 0.6667 0.2500  6 O 2.02
Sb 0.6667 0.3333 0.7500  6 O 2.02
Rh 0.3333 0.6667 0.7500  6 O 1.99
Rh 0.6667 0.3333 0.2500  6 O 1.99
O 0.0039 0.3502 0.6314  1 Rh 1.99, 1 Sb 2.02, 1 Mg 2.16
O 0.0039 0.6537 0.8686  1 Rh 1.99, 1 Sb 2.02, 1 Mg 2.16
O 0.3463 0.3502 0.8686  1 Rh 1.99, 1 Sb 2.02, 1 Mg 2.16
O 0.3463 0.9961 0.6314  1 Rh 1.99, 1 Sb 2.02, 1 Mg 2.16
O 0.3502 0.0039 0.1314  1 Rh 1.99, 1 Sb 2.02, 1 Mg 2.16
O 0.3502 0.3463 0.3686  1 Rh 1.99, 1 Sb 2.02, 1 Mg 2.16
O 0.6498 0.6537 0.6314  1 Rh 1.99, 1 Sb 2.02, 1 Mg 2.16
O 0.6498 0.9961 0.8686  1 Rh 1.99, 1 Sb 2.02, 1 Mg 2.16
O 0.6537 0.0039 0.3686  1 Rh 1.99, 1 Sb 2.02, 1 Mg 2.16
O 0.6537 0.6498 0.1314  1 Rh 1.99, 1 Sb 2.02, 1 Mg 2.16
O 0.9961 0.3463 0.1314  1 Rh 1.99, 1 Sb 2.02, 1 Mg 2.16
O 0.9961 0.6498 0.3686  1 Rh 1.99, 1 Sb 2.02, 1 Mg 2.16

Record 8
Material: MgSbRh2O6
Method: DFT, GGA-PBE
State: optimized geometry

Properties
The value obtained for the density of states at the Fermi level is 4.47 states/eV per cell. The formation energy (no corrections) comes out at -1.244 eV per atom. As for the calculated volume: 116.1 Å³/cell. The total energy is -62.61 eV per cell. As for the space group: No. 146.

Lattice parameters (Å, degrees): 5.6408 5.6408 5.6408 56.31 56.31 56.31
Last column: nearest neighbours and their distance in Å.
Element x y z (fractional)
Mg 0.0000 0.0000 0.0000  6 O 2.08-2.22
Sb 0.4966 0.4966 0.4966  6 O 2.08-2.14
Rh 0.2953 0.2953 0.2953  6 O 2.10-2.11
Rh 0.7965 0.7965 0.7965  6 O 2.09-2.11
O 0.0983 0.6894 0.3966  1 Mg 2.08, 2 Rh 2.11, 1 Sb 2.14
O 0.1889 0.5879 0.8974  1 Sb 2.08, 2 Rh 2.09-2.10, 1 Mg 2.22
O 0.3966 0.0983 0.6894  1 Mg 2.08, 2 Rh 2.11, 1 Sb 2.14
O 0.5879 0.8974 0.1889  1 Sb 2.08, 2 Rh 2.09-2.10, 1 Mg 2.22
O 0.6894 0.3966 0.0983  1 Mg 2.08, 2 Rh 2.11, 1 Sb 2.14
O 0.8974 0.1889 0.5879  1 Sb 2.08, 2 Rh 2.09-2.10, 1 Mg 2.22

Record 9
Material: MgRhSeO4
Method: DFT, GGA-PBE
State: optimized geometry

Properties
The value obtained for the density of states at the Fermi level is 2.68 states/eV per cell. The formation energy (no corrections) comes out at -1.038 eV per atom. As for the calculated volume: 166.5 Å³/cell. The total energy is -79.06 eV per cell. As for the space group: No. 74.

Lattice parameters (Å, degrees): 6.1634 6.1634 6.1634 123.93 113.99 92.02
Last column: nearest neighbours and their distance in Å.
Element x y z (fractional)
Mg 0.0000 0.0000 0.0000  6 O 2.05-2.22
Mg 0.5000 0.0000 0.5000  6 O 2.05-2.22
Rh 0.5000 0.0000 0.0000  6 O 2.04-2.11
Rh 0.5000 0.5000 0.5000  6 O 2.04-2.11
Se 0.0943 0.3443 0.7500  4 O 1.98-2.13
Se 0.9057 0.6557 0.2500  4 O 1.98-2.13
O 0.2536 0.2553 0.5018  1 Se 1.98, 1 Rh 2.11
O 0.2536 0.7518 0.9982  1 Se 1.98, 1 Rh 2.11
O 0.2738 0.2372 0.0366  2 Rh 2.04, 1 Mg 2.05, 1 Se 2.13
O 0.2994 0.7628 0.5366  2 Rh 2.04, 1 Mg 2.05, 1 Se 2.13
O 0.7006 0.2372 0.4634  2 Rh 2.04, 1 Mg 2.05, 1 Se 2.13
O 0.7262 0.7628 0.9634  2 Rh 2.04, 1 Mg 2.05, 1 Se 2.13
O 0.7464 0.2482 0.0018  1 Se 1.98, 1 Rh 2.11
O 0.7464 0.7447 0.4982  1 Se 1.98, 1 Rh 2.11

Record 10
Material: Sm2MgRhO5
Method: DFT, GGA-PBE
State: optimized geometry

Properties
The value obtained for the density of states at the Fermi level is 13.61 states/eV per cell. The formation energy (no corrections) comes out at -2.171 eV per atom. As for the calculated volume: 252.6 Å³/cell. The total energy is -125.43 eV per cell. As for the space group: No. 127.

Lattice parameters (Å, degrees): 6.6203 6.6203 5.7645 90.00 90.00 90.00
Last column: nearest neighbours and their distance in Å.
Element x y z (fractional)
Sm 0.1719 0.3281 0.0000  4 O 2.24-2.45
Sm 0.3281 0.8281 0.0000  4 O 2.24-2.45
Sm 0.6719 0.1719 0.0000  4 O 2.24-2.45
Sm 0.8281 0.6719 0.0000  4 O 2.24-2.45
Mg 0.0000 0.0000 0.5000  10 O 2.88-2.91
Mg 0.5000 0.5000 0.5000  10 O 2.88-2.91
Rh 0.0000 0.5000 0.5000  4 O 1.98
Rh 0.5000 0.0000 0.5000  4 O 1.98
O 0.0000 0.0000 0.0000  4 Sm 2.45
O 0.1459 0.6459 0.2522  1 Rh 1.98
O 0.1459 0.6459 0.7478  1 Rh 1.98
O 0.3541 0.1459 0.2522  1 Rh 1.98
O 0.3541 0.1459 0.7478  1 Rh 1.98
O 0.5000 0.5000 0.0000  4 Sm 2.45
O 0.6459 0.8541 0.2522  1 Rh 1.98
O 0.6459 0.8541 0.7478  1 Rh 1.98
O 0.8541 0.3541 0.2522  1 Rh 1.98
O 0.8541 0.3541 0.7478  1 Rh 1.98

Record 11
Material: Sm2MgRhO6
Method: DFT, GGA-PBE
State: optimized geometry

Properties
The value obtained for the density of states at the Fermi level is 13.22 states/eV per cell. The formation energy (no corrections) comes out at -2.502 eV per atom. As for the calculated volume: 242.6 Å³/cell. The total energy is -146.31 eV per cell. As for the space group: No. 14.

Lattice parameters (Å, degrees): 5.4251 5.7445 9.4669 90.00 124.69 90.00
Last column: nearest neighbours and their distance in Å.
Element x y z (fractional)
Sm 0.2320 0.0682 0.2508  6 O 2.32-2.57
Sm 0.2320 0.4318 0.7508  6 O 2.32-2.57
Sm 0.7680 0.5682 0.2492  6 O 2.32-2.57
Sm 0.7680 0.9318 0.7492  6 O 2.32-2.57
Mg 0.5000 0.0000 0.0000  6 O 2.06-2.09
Mg 0.5000 0.5000 0.5000  6 O 2.06-2.09
Rh 0.0000 0.0000 0.5000  6 O 2.02-2.04
Rh 0.0000 0.5000 0.0000  6 O 2.02-2.04
O 0.1345 0.2019 0.9449  1 Rh 2.04, 1 Mg 2.09
O 0.1345 0.2981 0.4449  1 Rh 2.04, 1 Mg 2.09
O 0.2496 0.6966 0.9461  1 Rh 2.04, 1 Mg 2.09
O 0.2496 0.8034 0.4461  1 Rh 2.04, 1 Mg 2.09
O 0.3533 0.0348 0.7474  1 Rh 2.02, 1 Mg 2.06
O 0.3533 0.4652 0.2474  1 Rh 2.02, 1 Mg 2.06
O 0.6467 0.5348 0.7526  1 Rh 2.02, 1 Mg 2.06
O 0.6467 0.9652 0.2526  1 Rh 2.02, 1 Mg 2.06
O 0.7504 0.1966 0.5539  1 Rh 2.04, 1 Mg 2.09
O 0.7504 0.3034 0.0539  1 Rh 2.04, 1 Mg 2.09
O 0.8655 0.7019 0.5551  1 Rh 2.04, 1 Mg 2.09
O 0.8655 0.7981 0.0551  1 Rh 2.04, 1 Mg 2.09

Record 12
Material: Sr3MgRh2O9
Method: DFT, GGA-PBE
State: optimized geometry

Properties
The value obtained for the density of states at the Fermi level is 5.92 states/eV per cell. The formation energy (no corrections) comes out at -1.830 eV per atom. As for the calculated volume: 189.8 Å³/cell. The total energy is -93.42 eV per cell. As for the space group: No. 164.

Lattice parameters (Å, degrees): 5.6314 5.6314 6.9120 90.00 90.00 120.00
Last column: nearest neighbours and their distance in Å.
Element x y z (fractional)
Sr 0.0000 0.0000 0.0000  12 O 2.81-2.82
Sr 0.3333 0.6667 0.6616  12 O 2.80-2.85
Sr 0.6667 0.3333 0.3384  12 O 2.80-2.85
Mg 0.0000 0.0000 0.5000  6 O 2.04
Rh 0.3333 0.6667 0.1697  6 O 1.93-2.00
Rh 0.6667 0.3333 0.8303  6 O 1.93-2.00
O 0.0000 0.5000 0.0000  2 Rh 2.00
O 0.1703 0.3407 0.3287  1 Rh 1.93, 1 Mg 2.04
O 0.1703 0.8297 0.3287  1 Rh 1.93, 1 Mg 2.04
O 0.3407 0.1703 0.6713  1 Rh 1.93, 1 Mg 2.04
O 0.5000 0.0000 0.0000  2 Rh 2.00
O 0.5000 0.5000 0.0000  2 Rh 2.00
O 0.6593 0.8297 0.3287  1 Rh 1.93, 1 Mg 2.04
O 0.8297 0.1703 0.6713  1 Rh 1.93, 1 Mg 2.04
O 0.8297 0.6593 0.6713  1 Rh 1.93, 1 Mg 2.04

Number 1 is which compound? MgRh2O

What is the formula in the fourth record? Mg2RhO

Which of these has the highest formation energy (no corrections)? MgRh3O

Which value of formation energy (no corrections) does entry 12 give? -1.830 eV per atom